# 1
# Ba2LiPd4Pb3 PBE-GGA relaxed
# magnetization: 0.0 μB per formula unit
# crystal system: tetragonal
# N(E_F): 5.95 states/eV per cell
# E: -4.268 eV/atom
# energy of formation: -485 kJ/mol of formula units
data_Ba2LiPd4Pb3
_cell_length_a 4.7893
_cell_length_b 4.7893
_cell_length_c 11.2831
_cell_angle_alpha 90.00
_cell_angle_beta 90.00
_cell_angle_gamma 90.00
_space_group_name_H-M_alt 'P -4 m 2'
_space_group_IT_number 115
loop_
_space_group_symop_operation_xyz
'x,y,z'
'y,-x,-z'
'-x,-y,z'
'-y,x,-z'
'-x,y,z'
'-y,-x,-z'
'x,-y,z'
'y,x,-z'
loop_
_atom_site_label
_atom_site_fract_x
_atom_site_fract_y
_atom_site_fract_z
Ba1 0.0000 0.5000 0.2489
Li1 0.0000 0.0000 0.5000
Pd1 0.0000 0.0000 0.0000
Pd2 0.0000 0.5000 0.6279
Pd3 0.5000 0.5000 0.0000
Pb1 0.0000 0.5000 0.8777
Pb2 0.5000 0.5000 0.5000

# 2
# BaLiPdPb PBE-GGA relaxed
# magnetization: 0.0 μB per formula unit
# crystal system: monoclinic
# N(E_F): 6.83 states/eV per cell
# E: -3.660 eV/atom
# energy of formation: -184 kJ/mol of formula units
# polymorph energy (0 for the lowest one): 0 meV/atom
data_BaLiPdPb
_cell_length_a 8.3165
_cell_length_b 4.8001
_cell_length_c 6.2940
_cell_angle_alpha 90.00
_cell_angle_beta 116.04
_cell_angle_gamma 90.00
_space_group_name_H-M_alt 'C 1 m 1'
_space_group_IT_number 8
loop_
_space_group_symop_operation_xyz
'x,y,z'
'x,-y,z'
'x+1/2,y+1/2,z'
'x+1/2,-y+1/2,z'
loop_
_atom_site_label
_atom_site_fract_x
_atom_site_fract_y
_atom_site_fract_z
Ba1 0.0000 0.0000 0.0000
Li1 0.3117 0.5000 0.4352
Pd1 0.1941 0.0000 0.5821
Pb1 0.0055 0.5000 0.5165

Which value of magnetization does entry 2 give?
0.0 μB per formula unit

Among the records above, which one has the highest N(E_F)?
BaLiPdPb